Compound: MgBPt4
Source: Alexandria via LeMat-Bulk
Functional: GGA-PBE
Structure: relaxed

Values from the calculation:
Space group ... No. 10
Total DFT energy (no corrections) ... -34.48 eV per cell
ΔH_f (0 K) ... -0.341 eV per atom

abc: 4.704 2.921 7.306
angles: 90.00 106.33 90.00
Fractional coordinates of all 6 atoms:
Mg 0.000 0.000 0.000
B 0.500 0.500 0.500
Pt 0.056 0.500 0.311
Pt 0.442 0.000 0.707
Pt 0.558 0.000 0.293
Pt 0.944 0.500 0.689